{"formula": "TePb3W", "functional": "PBE", "state": "relaxed", "lattice_angstrom": [[-5.406, -0.266, -0.717], [0.569, -4.823, -2.494], [-0.512, -2.544, 4.804]], "species": ["Pb", "Pb", "Pb", "Te", "W"], "frac_coords": [[0.000, 0.500, 0.000], [0.000, 0.000, 0.500], [0.500, 0.000, 0.000], [0.500, 0.500, 0.500], [0.000, 0.000, 0.000]], "e_tot_ev_per_atom": -4.8488, "crystal_system": "cubic", "magnetic_moment_mub_per_fu": 1.98, "raw_formation_energy_mev_per_atom": 595}



{"formula": "UCu2Si2", "functional": "PBE", "state": "relaxed", "lattice_angstrom": [[3.945, 0.000, 0.000], [0.000, 3.945, 0.000], [-1.973, -1.973, 5.044]], "species": ["Si", "Si", "U", "Cu", "Cu"], "frac_coords": [[0.616, 0.616, 0.233], [0.384, 0.384, 0.767], [0.000, 0.000, 0.000], [0.750, 0.250, 0.500], [0.250, 0.750, 0.500]], "e_tot_ev_per_atom": -6.3789, "crystal_system": "tetragonal", "magnetic_moment_mub_per_fu": 2.37, "raw_formation_energy_mev_per_atom": -314}



{"formula": "Nd3Pd2Pt", "functional": "PBE", "state": "relaxed", "lattice_angstrom": [[-2.772, 6.304, -2.563], [-3.939, 3.849, 4.864], [3.281, 6.071, 2.523]], "species": ["Nd", "Nd", "Nd", "Nd", "Nd", "Nd", "Pd", "Pd", "Pd", "Pd", "Pt", "Pt"], "frac_coords": [[0.412, 0.088, 0.750], [0.088, 0.750, 0.412], [0.750, 0.412, 0.088], [0.588, 0.912, 0.250], [0.912, 0.250, 0.588], [0.250, 0.588, 0.912], [0.332, 0.332, 0.332], [0.168, 0.168, 0.168], [0.832, 0.832, 0.832], [0.668, 0.668, 0.668], [0.500, 0.500, 0.500], [0.000, 0.000, 0.000]], "e_tot_ev_per_atom": -5.9733, "crystal_system": "trigonal", "magnetic_moment_mub_per_fu": 0.00}



{"formula": "KCaAl2", "functional": "PBE", "state": "relaxed", "lattice_angstrom": [[6.652, 0.109, -0.016], [5.645, 3.522, -0.016], [2.397, 0.707, 5.084]], "species": ["Ca", "K", "Al", "Al"], "frac_coords": [[0.467, 0.467, 0.533], [0.274, 0.274, 0.226], [0.042, 0.042, 0.958], [0.717, 0.717, 0.783]], "e_tot_ev_per_atom": -2.5465, "crystal_system": "monoclinic", "magnetic_moment_mub_per_fu": 0.00}



{"formula": "MgSi2Rh", "functional": "PBE", "state": "relaxed", "lattice_angstrom": [[-2.049, -0.419, -4.084], [3.691, -2.710, 0.300], [-1.691, -2.185, 1.072]], "species": ["Mg", "Rh", "Si", "Si"], "frac_coords": [[0.500, 0.000, 0.500], [0.000, 0.500, 0.500], [0.000, 0.000, 0.000], [0.500, 0.500, 0.000]], "e_tot_ev_per_atom": -5.1178, "crystal_system": "orthorhombic", "magnetic_moment_mub_per_fu": 0.00, "raw_formation_energy_mev_per_atom": -170}